This record from the Alexandria database describes a relaxed AcMn3B4O12 crystal. The functional is PBE with a Hubbard U.

Values from the calculation:
* energy: -157.42 eV for the cell shown
* calculated density: 4.7 g cm⁻³
* total magnetization: 12.000 μB per cell
* space-group type: R32

Structure (extended XYZ):
```
20
Lattice="-0.212 -2.992 5.486 6.004 1.678 -0.484 -2.904 5.405 1.205" Properties=species:S:1:pos:R:3 pbc="T T T"
O -0.583 5.287 2.166
O 2.549 -1.400 4.860
O 4.525 -0.404 3.030
O 1.415 5.217 0.773
O 1.827 0.851 3.713
O 2.328 2.709 2.255
O 0.178 2.575 3.344
O 5.167 1.649 1.888
O -1.822 1.018 5.046
O -2.211 3.574 3.797
O -0.037 -0.495 5.722
O 3.994 3.962 0.655
B 0.244 5.789 1.195
B 1.444 2.045 3.104
B -1.327 -0.037 5.766
B 5.416 0.384 2.351
Mn 1.993 3.356 0.277
Mn -1.692 1.624 3.133
Mn 2.587 -0.889 2.798
Ac 0.000 0.000 0.000
```